Here is Sr3FeBi after structural relaxation from the Alexandria database. Energies are from PBE-GGA.

Structure (POSCAR):
```
Sr3FeBi
1.0
5.629 0.000 0.000
0.000 5.629 0.000
0.000 0.000 5.629
Sr Bi Fe
3 1 1
direct
0.000 0.500 0.000
0.000 0.000 0.500
0.500 0.000 0.000
0.500 0.500 0.500
0.000 0.000 0.000
```

## Properties
For the energy of formation from the pure elements, the calculation gives 10 kJ/mol of atoms. As for the crystal system: cubic.

=====

Here is Li3HgI after structural relaxation from the Alexandria database. Energies are from PBE-GGA.

Structure (POSCAR):
```
Li3HgI
1.0
-3.286 -2.634 -3.073
0.737 -4.281 2.882
-3.980 1.382 3.071
I Hg Li
1 1 3
direct
0.500 0.500 0.500
0.000 0.000 0.000
0.000 0.500 0.000
0.000 0.000 0.500
0.500 0.000 0.000
```

## Properties
The value obtained for the total DFT energy (no corrections) is -1.696 eV/atom. As for the crystal system: cubic.

=====

Here is TcPd3S after structural relaxation from the Alexandria database. Energies are from PBE-GGA.

Structure (POSCAR):
```
TcPd3S
1.0
4.492 0.000 0.000
0.000 4.492 0.000
0.000 0.000 4.492
S Tc Pd
1 1 3
direct
0.000 0.000 0.000
0.500 0.500 0.500
0.000 0.500 0.000
0.000 0.000 0.500
0.500 0.000 0.000
```

## Properties
The value obtained for the total DFT energy (no corrections) is -5.570 eV/atom. As for the crystal system: cubic.

=====

Here is TlZn2Cr2 after structural relaxation from the Alexandria database. Energies are from PBE-GGA.

Structure (POSCAR):
```
TlZn2Cr2
1.0
-0.791 -3.216 -1.882
1.872 -2.007 2.642
-4.380 -3.186 3.430
Cr Tl Zn
2 1 2
direct
0.415 0.415 0.170
0.585 0.585 0.830
0.000 0.000 0.000
0.750 0.250 0.500
0.250 0.750 0.500
```

## Properties
For the energy of formation from the pure elements, the calculation gives 62 kJ/mol of atoms. As for the crystal system: tetragonal.

=====

Here is TbNdCu2Se4 after structural relaxation from the Alexandria database. Energies are from PBE-GGA.

Structure (POSCAR):
```
TbNdCu2Se4
1.0
6.844 0.000 0.000
3.422 5.307 0.143
3.422 0.577 5.277
Tb Nd Cu Se
1 1 2 4
direct
0.500 0.500 0.500
0.000 0.000 0.000
0.157 0.343 0.343
0.843 0.657 0.657
0.445 0.077 0.534
0.056 0.923 0.466
0.944 0.534 0.077
0.555 0.466 0.923
```

## Properties
The value obtained for the total DFT energy (no corrections) is -4.999 eV/atom. As for the crystal system: orthorhombic.

=====

Here is TcNiTe2 after structural relaxation from the Alexandria database. Energies are from PBE-GGA.

Structure (POSCAR):
```
TcNiTe2
1.0
-4.757 -5.228 2.897
-0.064 -6.900 3.278
2.391 7.204 -0.865
Ni Tc Te
1 1 2
direct
0.552 0.552 0.000
0.172 0.672 0.500
0.015 0.015 0.000
0.761 0.261 0.500
```

## Properties
The value obtained for the total DFT energy (no corrections) is -5.510 eV/atom. As for the crystal system: orthorhombic.

=====

Here is BaCa2Ga4 after structural relaxation from the Alexandria database. Energies are from PBE-GGA.

Structure (POSCAR):
```
BaCa2Ga4
1.0
-0.215 -0.062 -4.306
0.889 -4.750 0.024
-9.633 0.670 2.631
Ca Ba Ga
2 1 4
direct
0.813 0.813 0.626
0.187 0.187 0.374
0.500 0.000 0.000
0.644 0.644 0.288
0.356 0.356 0.712
0.070 0.570 0.140
0.930 0.430 0.860
```

## Properties
For the energy of formation from the pure elements, the calculation gives -42 kJ/mol of atoms. As for the crystal system: orthorhombic.

=====

Here is CePm14Ho after structural relaxation from the Alexandria database. Energies are from PBE-GGA.

Structure (POSCAR):
```
CePm14Ho
1.0
-5.939 3.038 -2.909
-2.597 -6.610 -1.590
-4.674 -0.367 9.159
Ce Pm Ho
1 14 1
direct
0.875 0.125 0.000
0.375 0.625 0.500
0.875 0.125 0.500
0.875 0.625 0.000
0.875 0.625 0.500
0.375 0.125 0.000
0.375 0.125 0.500
0.626 0.876 0.753
0.626 0.876 0.247
0.124 0.374 0.753
0.124 0.374 0.247
0.124 0.876 0.753
0.124 0.876 0.247
0.626 0.374 0.753
0.626 0.374 0.247
0.375 0.625 0.000
```

## Properties
For the energy of formation from the pure elements, the calculation gives 3 kJ/mol of atoms. As for the crystal system: tetragonal.

=====

Here is La2HfFe after structural relaxation from the Alexandria database. Energies are from PBE-GGA.

Structure (POSCAR):
```
La2HfFe
1.0
8.542 0.000 0.000
0.000 8.542 0.000
4.271 4.271 2.860
Hf Fe La
2 2 4
direct
0.000 0.000 0.000
0.750 0.250 0.500
0.500 0.500 0.000
0.250 0.750 0.500
0.538 0.125 0.250
0.212 0.625 0.250
0.375 0.462 0.750
0.875 0.788 0.750
```

## Properties
For the energy of formation from the pure elements, the calculation gives 49 kJ/mol of atoms. As for the crystal system: tetragonal.

=====

Here is Li5Pt2 after structural relaxation from the Alexandria database. Energies are from PBE-GGA.

Structure (POSCAR):
```
Li5Pt2
1.0
-6.525 1.637 7.001
-2.071 -2.458 4.105
-0.375 2.600 4.503
Li Pt
5 2
direct
0.000 0.000 0.000
0.727 0.186 0.724
0.273 0.276 0.814
0.273 0.814 0.276
0.727 0.724 0.186
0.746 0.675 0.675
0.254 0.325 0.325
```

## Properties
For the energy of formation from the pure elements, the calculation gives -33 kJ/mol of atoms. As for the crystal system: monoclinic.

=====

Here is CoGeN3 after structural relaxation from the Alexandria database. Energies are from PBE-GGA.

Structure (POSCAR):
```
CoGeN3
1.0
-2.168 2.875 0.811
-2.404 -1.084 -2.583
-1.773 -2.045 2.510
Ge Co N
1 1 3
direct
0.500 0.500 0.500
0.000 0.000 0.000
0.000 0.500 0.000
0.000 0.000 0.500
0.500 0.000 0.000
```

## Properties
The value obtained for the total DFT energy (no corrections) is -5.868 eV/atom. As for the crystal system: cubic.

=====

Here is Co3TcAu after structural relaxation from the Alexandria database. Energies are from PBE-GGA.

Structure (POSCAR):
```
Co3TcAu
1.0
4.378 0.000 0.000
0.000 4.378 0.000
0.000 0.000 4.378
Co Au Tc
3 1 1
direct
0.000 0.500 0.000
0.000 0.000 0.500
0.500 0.000 0.000
0.500 0.500 0.500
0.000 0.000 0.000
```

## Properties
For the energy of formation from the pure elements, the calculation gives 135 kJ/mol of atoms. As for the crystal system: cubic.